Arrangement a

Computed, not measured: HfCuSbOs after structural relaxation at the PBE level of DFT.

## Properties
Space-group type = No. 216
V = 69.9 Å³/cell
M_tot = 0.00 Bohr magnetons per cell

Cell lengths 4.6242, 4.6242, 4.6242 Å; angles 60.00, 60.00, 60.00 degrees
Element x y z (fractional)
Hf  0.0000  0.0000  0.0000
Cu  0.5000  0.5000  0.5000
Sb  0.2500  0.2500  0.2500
Os  0.7500  0.7500  0.7500

Arrangement b

Computed, not measured: HfCuSbOs after structural relaxation at the PBE level of DFT.

## Properties
Space-group type = No. 216
V = 68.2 Å³/cell
M_tot = 0.00 Bohr magnetons per cell

Cell lengths 4.5863, 4.5863, 4.5863 Å; angles 60.00, 60.00, 60.00 degrees
Element x y z (fractional)
Hf  0.0000  0.0000  0.0000
Cu  0.7500  0.7500  0.7500
Sb  0.5000  0.5000  0.5000
Os  0.2500  0.2500  0.2500

Arrangement c

Computed, not measured: HfCuSbOs after structural relaxation at the PBE level of DFT.

## Properties
Space-group type = No. 216
V = 67.4 Å³/cell
M_tot = 0.00 Bohr magnetons per cell

Cell lengths 4.5675, 4.5675, 4.5675 Å; angles 60.00, 60.00, 60.00 degrees
Element x y z (fractional)
Hf  0.0000  0.0000  0.0000
Cu  0.7500  0.7500  0.7500
Sb  0.2500  0.2500  0.2500
Os  0.5000  0.5000  0.5000

In terms of stability, arrangement b leads; the second structure lies 20.1 kJ/mol of atoms higher.

Arrangement a

Computed, not measured: HfTaCuOs after structural relaxation at the PBE level of DFT.

## Properties
Space-group type = No. 216
V = 65.7 Å³/cell
M_tot = 0.00 Bohr magnetons per cell

Cell lengths 4.5297, 4.5297, 4.5297 Å; angles 60.00, 60.00, 60.00 degrees
Element x y z (fractional)
Hf  0.0000  0.0000  0.0000
Ta  0.5000  0.5000  0.5000
Cu  0.2500  0.2500  0.2500
Os  0.7500  0.7500  0.7500

Arrangement b

Computed, not measured: HfTaCuOs after structural relaxation at the PBE level of DFT.

## Properties
Space-group type = No. 216
V = 63.9 Å³/cell
M_tot = 0.00 Bohr magnetons per cell

Cell lengths 4.4865, 4.4865, 4.4865 Å; angles 60.00, 60.00, 60.00 degrees
Element x y z (fractional)
Hf  0.0000  0.0000  0.0000
Ta  0.2500  0.2500  0.2500
Cu  0.7500  0.7500  0.7500
Os  0.5000  0.5000  0.5000

In terms of stability, arrangement a leads; the second structure lies 16.1 kJ/mol of atoms higher.

Arrangement a

Computed, not measured: Hf3Cu4Pb4 after structural relaxation at the PBE level of DFT.

## Properties
Space-group type = No. 121
V = 244.0 Å³/cell
M_tot = 0.00 Bohr magnetons per cell

Cell lengths 7.6561, 7.6561, 7.6561 Å; angles 131.84, 131.84, 70.48 degrees
Element x y z (fractional)
Hf  0.0000  0.0000  0.0000
Hf  0.2500  0.7500  0.5000
Hf  0.7500  0.2500  0.5000
Cu  0.1153  0.6327  0.0000
Cu  0.3673  0.3673  0.4826
Cu  0.6327  0.1153  0.0000
Cu  0.8847  0.8847  0.5174
Pb  0.0000  0.5000  0.5000
Pb  0.2646  0.2646  0.0000
Pb  0.5000  0.0000  0.5000
Pb  0.7354  0.7354  0.0000

Arrangement b

Computed, not measured: Hf3Cu4Pb4 after structural relaxation at the PBE level of DFT.

## Properties
Space-group type = No. 6
V = 230.7 Å³/cell
M_tot = 0.02 Bohr magnetons per cell

Cell lengths 6.6564, 4.4283, 7.8307 Å; angles 90.00, 91.62, 90.00 degrees
Element x y z (fractional)
Hf  0.0000  0.0000  0.0000
Hf  0.0116  0.5000  0.4720
Hf  0.5134  0.0000  0.9899
Cu  0.1457  0.5000  0.8206
Cu  0.1933  0.0000  0.3227
Cu  0.7969  0.5000  0.1393
Cu  0.8708  0.0000  0.6600
Pb  0.2919  0.5000  0.1587
Pb  0.2967  0.0000  0.6518
Pb  0.7066  0.5000  0.7877
Pb  0.7169  0.0000  0.3366

In terms of stability, arrangement a leads; the second structure lies 1.1 kJ/mol of atoms higher.